# BTe2SeN

BTe2SeN after structural relaxation (PBE, the Alexandria database).

Summary:
- formation energy without anion corrections (kJ/mol of formula units) = 835
- symmetry = P4/mmm (123)

Cell and atoms, written as extended XYZ:
```
5
Lattice="5.747 0.000 0.000 0.000 5.747 0.000 0.000 0.000 3.613" Properties=species:S:1:pos:R:3 pbc="T T T"
Te 2.873 0.000 0.000
Te 0.000 2.873 0.000
B 2.873 2.873 1.807
N 0.000 0.000 1.807
Se 0.000 0.000 0.000
```


# CaLaPrSm

CaLaPrSm after structural relaxation (PBE, the Alexandria database).

Summary:
- symmetry = F-43m (216)
- energy of formation from the pure elements (eV/atom) = 0.112

Cell and atoms, written as extended XYZ:
```
4
Lattice="-4.853 -3.417 -0.032 -1.962 -2.321 -5.098 0.484 -5.833 -0.986" Properties=species:S:1:pos:R:3 pbc="T T T"
Sm -4.748 -8.678 -4.587
Pr 0.000 0.000 0.000
Ca -1.583 -2.893 -1.529
La -3.165 -5.785 -3.058
```


# BeIn

BeIn after structural relaxation (PBE, the Alexandria database).

Summary:
- symmetry = P-6m2 (187)
- energy of formation from the pure elements (eV/atom) = 0.669

Cell and atoms, written as extended XYZ:
```
2
Lattice="3.202 0.000 0.000 -1.601 2.773 0.000 0.000 0.000 4.049" Properties=species:S:1:pos:R:3 pbc="T T T"
Be 0.000 0.000 0.000
In 1.601 0.924 2.025
```


# ScRe2Hg

ScRe2Hg after structural relaxation (PBE, the Alexandria database).

Summary:
- symmetry = Cmmm (65)
- energy of formation from the pure elements (eV/atom) = 0.563

Cell and atoms, written as extended XYZ:
```
4
Lattice="5.142 0.028 0.000 -2.128 4.681 0.000 0.000 0.000 2.873" Properties=species:S:1:pos:R:3 pbc="T T T"
Hg -1.064 2.340 1.437
Re 0.000 0.000 0.000
Re 1.507 2.354 0.000
Sc 2.571 0.014 1.437
```


# LaTa2I

LaTa2I after structural relaxation (PBE, the Alexandria database).

Summary:
- formation energy without anion corrections (kJ/mol of formula units) = 387
- symmetry = I-42d (122)

Cell and atoms, written as extended XYZ:
```
8
Lattice="-0.612 -1.789 8.262 4.466 -7.102 -1.206 4.407 -2.971 4.031" Properties=species:S:1:pos:R:3 pbc="T T T"
I 1.927 -4.445 3.528
I 5.400 -7.259 3.176
La 0.000 0.000 0.000
La 2.861 -4.602 7.911
Ta 6.413 -9.586 9.269
Ta 5.016 -5.983 5.598
Ta 3.781 -5.511 1.777
Ta 1.314 -2.642 5.531
```


# Zn5Ag4Rh

Zn5Ag4Rh after structural relaxation (PBE, the Alexandria database).

Summary:
- symmetry = P4/mmm (123)
- energy of formation from the pure elements (eV/atom) = -0.119

Cell and atoms, written as extended XYZ:
```
10
Lattice="-2.468 -0.617 1.646 1.567 -2.056 1.580 4.488 12.063 11.249" Properties=species:S:1:pos:R:3 pbc="T T T"
Rh 0.000 0.000 0.000
Ag 2.704 7.269 6.778
Ag 1.783 4.794 4.471
Ag 0.858 2.306 2.150
Ag 3.630 9.757 9.099
Zn 3.649 9.685 11.890
Zn 0.868 2.208 4.918
Zn 1.793 4.695 7.237
Zn -0.063 -0.294 2.584
Zn 2.719 7.183 9.557
```


Final energy readings, ordered: -3.2231; -3.9948; -2.5632; -7.3189; -6.5431; -2.6314 eV/atom